DFT (GGA-PBE) results for LaPrZn4 after structural relaxation.

- ΔH_f (0 K): -0.3671 eV per atom
- Symmetry: Imm2

a = 5.8208 Å, b = 5.8208 Å, c = 5.8208 Å
α = 133.05°, β = 99.82°, γ = 98.45°
With the nearest neighbours (Å) after each atom.
Positions (direct):
La (0.5381, 0.5381, 0.0000)  12 Zn 3.15-3.40
Pr (0.9642, 0.4642, 0.5000)  12 Zn 3.13-3.41
Zn (0.3577, 0.1645, 0.1932)  4 Zn 2.65-2.90
Zn (0.1397, 0.8343, 0.3054)  4 Zn 2.65-2.92
Zn (0.5289, 0.8343, 0.6946)  4 Zn 2.65-2.92
Zn (0.9714, 0.1645, 0.8068)  4 Zn 2.65-2.90


DFT (GGA-PBE) results for Tm2Cd2O5 after structural relaxation.

- Symmetry: P4/mmm

a = 8.2388 Å, b = 4.0889 Å, c = 4.0889 Å
α = 90.00°, β = 90.00°, γ = 90.00°
With the nearest neighbours (Å) after each atom.
Positions (direct):
Cd (0.0000, 0.0000, 0.0000)  8 O 2.49
Cd (0.5000, 0.0000, 0.0000)  4 O 2.89
O (0.1717, 0.5000, 0.0000)  2 Tm 2.13
O (0.8283, 0.5000, 0.0000)  2 Tm 2.13
O (0.1717, 0.0000, 0.5000)  2 Tm 2.13
O (0.8283, 0.0000, 0.5000)  2 Tm 2.13
O (0.5000, 0.5000, 0.5000)  2 Tm 2.12
Tm (0.2423, 0.5000, 0.5000)  5 O 2.12-2.13
Tm (0.7577, 0.5000, 0.5000)  5 O 2.12-2.13


DFT (GGA-PBE) results for RbGdFeSe3 after structural relaxation.

- Symmetry: Pnma

a = 11.3644 Å, b = 4.3522 Å, c = 12.9321 Å
α = 90.00°, β = 90.00°, γ = 90.00°
With the nearest neighbours (Å) after each atom.
Positions (direct):
Fe (0.2406, 0.2500, 0.2091)  4 Se 2.40-2.48
Fe (0.7406, 0.2500, 0.2909)  4 Se 2.40-2.48
Fe (0.2594, 0.7500, 0.7091)  4 Se 2.40-2.48
Fe (0.7594, 0.7500, 0.7909)  4 Se 2.40-2.48
Gd (0.9816, 0.7500, 0.1774)  7 Se 2.93-3.26
Gd (0.4816, 0.7500, 0.3226)  7 Se 2.93-3.26
Gd (0.5184, 0.2500, 0.6774)  7 Se 2.93-3.26
Gd (0.0184, 0.2500, 0.8226)  7 Se 2.93-3.26
Rb (0.6745, 0.2500, 0.0025)  7 Se 3.39-3.47, 2 Fe 3.63
Rb (0.1745, 0.2500, 0.4975)  7 Se 3.39-3.47, 2 Fe 3.63
Rb (0.8255, 0.7500, 0.5025)  7 Se 3.39-3.47, 2 Fe 3.63
Rb (0.3255, 0.7500, 0.9975)  7 Se 3.39-3.47, 2 Fe 3.63
Se (0.0998, 0.2500, 0.0646)  1 Fe 2.46
Se (0.4483, 0.2500, 0.1738)  1 Fe 2.40
Se (0.7161, 0.7500, 0.2014)  2 Fe 2.48
Se (0.2161, 0.7500, 0.2986)  2 Fe 2.48
Se (0.9483, 0.2500, 0.3262)  1 Fe 2.40
Se (0.5998, 0.2500, 0.4354)  1 Fe 2.46
Se (0.4002, 0.7500, 0.5646)  1 Fe 2.46
Se (0.0517, 0.7500, 0.6738)  1 Fe 2.40
Se (0.7839, 0.2500, 0.7014)  2 Fe 2.48
Se (0.2839, 0.2500, 0.7986)  2 Fe 2.48
Se (0.5517, 0.7500, 0.8262)  1 Fe 2.40
Se (0.9002, 0.7500, 0.9354)  1 Fe 2.46


DFT (GGA-PBE) results for RbCuWSe2S after structural relaxation.

- Symmetry: Cmcm

a = 7.8741 Å, b = 7.8741 Å, c = 9.5890 Å
α = 90.00°, β = 90.00°, γ = 151.68°
With the nearest neighbours (Å) after each atom.
Positions (direct):
Cu (0.9723, 0.0277, 0.2500)  2 S 2.31, 2 Se 2.38
Cu (0.0277, 0.9723, 0.7500)  2 S 2.31, 2 Se 2.38
Rb (0.2443, 0.7557, 0.2500)  6 Se 3.44-3.52, 2 S 3.46, 2 Rb 3.85
Rb (0.7557, 0.2443, 0.7500)  6 Se 3.44-3.52, 2 S 3.46, 2 Rb 3.85
S (0.5564, 0.4436, 0.2500)  2 Cu 2.31, 2 W 2.55
S (0.4436, 0.5564, 0.7500)  2 Cu 2.31, 2 W 2.55
Se (0.8863, 0.1137, 0.0426)  1 Cu 2.38, 2 W 2.62
Se (0.8863, 0.1137, 0.4574)  1 Cu 2.38, 2 W 2.62
Se (0.1137, 0.8863, 0.5426)  1 Cu 2.38, 2 W 2.62
Se (0.1137, 0.8863, 0.9574)  1 Cu 2.38, 2 W 2.62
W (0.5000, 0.5000, 0.0000)  2 S 2.55, 4 Se 2.62
W (0.5000, 0.5000, 0.5000)  2 S 2.55, 4 Se 2.62


DFT (GGA-PBE) results for Sm3Mg3TlHg2 after structural relaxation.

- Symmetry: P-62m

a = 7.8674 Å, b = 7.8674 Å, c = 4.3567 Å
α = 90.00°, β = 90.00°, γ = 120.00°
With the nearest neighbours (Å) after each atom.
Positions (direct):
Hg (0.6667, 0.3333, 0.5000)  3 Mg 2.99, 6 Sm 3.22
Hg (0.3333, 0.6667, 0.5000)  3 Mg 2.99, 6 Sm 3.22
Mg (0.2527, 0.0000, 0.5000)  2 Tl 2.95, 2 Hg 2.99
Mg (0.0000, 0.2527, 0.5000)  2 Tl 2.95, 2 Hg 2.99
Mg (0.7473, 0.7473, 0.5000)  2 Tl 2.95, 2 Hg 2.99
Sm (0.5844, 0.0000, 0.0000)  4 Hg 3.22, 1 Tl 3.27, 6 Mg 3.40-3.59
Sm (0.4156, 0.4156, 0.0000)  4 Hg 3.22, 1 Tl 3.27, 6 Mg 3.40-3.59
Sm (0.0000, 0.5844, 0.0000)  4 Hg 3.22, 1 Tl 3.27, 6 Mg 3.40-3.59
Tl (0.0000, 0.0000, 0.0000)  6 Mg 2.95, 3 Sm 3.27


DFT (GGA-PBE) results for Nd3TcC3 after structural relaxation.

- Symmetry: Cmcm

a = 7.0030 Å, b = 5.3921 Å, c = 7.0037 Å
α = 90.00°, β = 101.07°, γ = 90.00°
With the nearest neighbours (Å) after each atom.
Positions (direct):
C (0.3242, 0.7500, 0.0735)  1 Tc 1.92
C (0.0734, 0.2500, 0.3242)  1 Tc 1.92
C (0.6249, 0.2500, 0.3749)  1 Tc 1.94
C (0.3751, 0.7500, 0.6251)  1 Tc 1.94
C (0.9266, 0.7500, 0.6758)  1 Tc 1.92
C (0.6758, 0.2500, 0.9265)  1 Tc 1.92
Nd (0.3285, 0.2500, 0.0888)  5 C 2.59-2.88
Nd (0.0889, 0.7500, 0.3287)  5 C 2.59-2.87
Nd (0.6084, 0.7500, 0.3916)  5 C 2.52-2.70
Nd (0.3916, 0.2500, 0.6084)  5 C 2.52-2.70
Nd (0.9111, 0.2500, 0.6713)  5 C 2.59-2.87
Nd (0.6715, 0.7500, 0.9112)  5 C 2.59-2.88
Tc (0.8048, 0.2500, 0.1951)  3 C 1.92-1.94
Tc (0.1952, 0.7500, 0.8049)  3 C 1.92-1.94


DFT (GGA-PBE) results for YCdNO after structural relaxation.

- Symmetry: Cm

a = 4.6522 Å, b = 4.6522 Å, c = 9.2368 Å
α = 98.58°, β = 98.58°, γ = 94.01°
With the nearest neighbours (Å) after each atom.
Positions (direct):
Cd (0.2162, 0.2162, 0.5387)  2 N 2.01-2.09
Cd (0.0946, 0.0946, 0.9086)  1 N 2.09, 2 O 2.29
N (0.1764, 0.1764, 0.3085)  1 Cd 2.09
N (0.3029, 0.3029, 0.7612)  2 Cd 2.01-2.09
O (0.8317, 0.3649, 0.0609)  2 Y 2.10-2.12, 1 Cd 2.29
O (0.3649, 0.8317, 0.0609)  2 Y 2.10-2.12, 1 Cd 2.29
Y (0.6497, 0.1475, 0.2146)  2 O 2.10-2.12
Y (0.1475, 0.6497, 0.2146)  2 O 2.10-2.12


DFT (GGA-PBE) results for Cs3Cu20Te13 after structural relaxation.

- Symmetry: Fm-3

a = 10.4994 Å, b = 10.4994 Å, c = 10.4994 Å
α = 60.00°, β = 60.00°, γ = 60.00°
With the nearest neighbours (Å) after each atom.
Positions (direct):
Cs (0.2500, 0.2500, 0.2500)  16 Cu 3.73-4.14, 12 Te 4.16
Cs (0.5000, 0.5000, 0.5000)  12 Te 4.06, 12 Cu 4.24
Cs (0.7500, 0.7500, 0.7500)  16 Cu 3.73-4.14, 12 Te 4.16
Cu (0.1048, 0.1048, 0.1048)  3 Cu 2.61, 4 Te 2.70-2.75
Cu (0.6855, 0.1048, 0.1048)  3 Cu 2.61, 4 Te 2.70-2.75
Cu (0.1048, 0.6855, 0.1048)  3 Cu 2.61, 4 Te 2.70-2.75
Cu (0.6296, 0.3704, 0.1179)  2 Cu 2.61, 4 Te 2.62-2.63
Cu (0.8821, 0.6296, 0.1179)  2 Cu 2.61, 4 Te 2.62-2.63
Cu (0.3704, 0.8821, 0.1179)  2 Cu 2.61, 4 Te 2.62-2.63
Cu (0.8952, 0.8952, 0.3145)  3 Cu 2.61, 4 Te 2.70-2.75
Cu (0.8821, 0.1179, 0.3704)  2 Cu 2.61, 4 Te 2.62-2.63
Cu (0.1179, 0.6296, 0.3704)  2 Cu 2.61, 4 Te 2.62-2.63
Cu (0.6296, 0.8821, 0.3704)  2 Cu 2.61, 4 Te 2.62-2.63
Cu (0.3704, 0.1179, 0.6296)  2 Cu 2.61, 4 Te 2.62-2.63
Cu (0.8821, 0.3704, 0.6296)  2 Cu 2.61, 4 Te 2.62-2.63
Cu (0.1179, 0.8821, 0.6296)  2 Cu 2.61, 4 Te 2.62-2.63
Cu (0.1048, 0.1048, 0.6855)  3 Cu 2.61, 4 Te 2.70-2.75
Cu (0.6296, 0.1179, 0.8821)  2 Cu 2.61, 4 Te 2.62-2.63
Cu (0.1179, 0.3704, 0.8821)  2 Cu 2.61, 4 Te 2.62-2.63
Cu (0.3704, 0.6296, 0.8821)  2 Cu 2.61, 4 Te 2.62-2.63
Cu (0.8952, 0.3145, 0.8952)  3 Cu 2.61, 4 Te 2.70-2.75
Cu (0.3145, 0.8952, 0.8952)  3 Cu 2.61, 4 Te 2.70-2.75
Cu (0.8952, 0.8952, 0.8952)  3 Cu 2.61, 4 Te 2.70-2.75
Te (0.0000, 0.0000, 0.0000)  8 Cu 2.70
Te (0.8674, 0.3806, 0.1326)  6 Cu 2.62-2.75
Te (0.3806, 0.6194, 0.1326)  6 Cu 2.62-2.75
Te (0.6194, 0.8674, 0.1326)  6 Cu 2.62-2.75
Te (0.6194, 0.1326, 0.3806)  6 Cu 2.62-2.75
Te (0.8674, 0.6194, 0.3806)  6 Cu 2.62-2.75
Te (0.1326, 0.8674, 0.3806)  6 Cu 2.62-2.75
Te (0.8674, 0.1326, 0.6194)  6 Cu 2.62-2.75
Te (0.1326, 0.3806, 0.6194)  6 Cu 2.62-2.75
Te (0.3806, 0.8674, 0.6194)  6 Cu 2.62-2.75
Te (0.3806, 0.1326, 0.8674)  6 Cu 2.62-2.75
Te (0.6194, 0.3806, 0.8674)  6 Cu 2.62-2.75
Te (0.1326, 0.6194, 0.8674)  6 Cu 2.62-2.75


DFT (GGA-PBE) results for CsTaRe after structural relaxation.

- Symmetry: F-43m

a = 4.7126 Å, b = 4.7126 Å, c = 4.7126 Å
α = 60.00°, β = 60.00°, γ = 60.00°
With the nearest neighbours (Å) after each atom.
Positions (direct):
Cs (0.2500, 0.2500, 0.2500)  4 Re 2.89
Re (0.0000, 0.0000, 0.0000)  4 Ta 2.89, 4 Cs 2.89
Ta (0.7500, 0.7500, 0.7500)  4 Re 2.89


no.,electronic total energy (eV/cell)
1,-16.96
2,-53.83
3,-124.60
4,-62.63
5,-25.00
6,-107.29
7,-46.27
8,-125.40
9,-18.84